Ce2ErTh3Se6 (GGA-PBE, relaxed); SG = C2/m (12); density = 8.725 g/cm3; DFT total energy = -6.627 eV per atom
1.0
4.137 0.000 0.000
0.000 8.410 0.179
-2.069 -2.550 8.792
Ce Er Th Se
2 1 3 6
direct
0.833 0.666 0.667
0.167 0.334 0.333
0.500 0.000 0.000
0.500 0.500 0.000
0.831 0.167 0.663
0.169 0.833 0.337
0.339 0.918 0.678
0.668 0.580 0.335
0.661 0.082 0.322
0.000 0.237 0.999
0.000 0.763 0.001
0.332 0.420 0.665